No. 1
VASP calculation (PBE) on a geometry-optimized LiAcSc2Tl4 structure.

Summary:
spin magnetization = 0.0 μB per cell
energy = -90.521 eV/cell
calculated formation energy = -0.25 eV/atom

Cell: 4.9919 4.9919 29.7825 Å, 90.00 90.00 120.00°
Last column: nearest neighbours and their distance in Å.
Space group R-3m (No. 166, hexagonal axes)
Symmetry-distinct sites (fractional):
Li 0.0000 0.0000 0.0000 [3 per cell]  8 Tl 3.06-3.09
Ac 0.0000 0.0000 0.5000 [3 per cell]  8 Tl 3.45-3.86
Sc 0.0000 0.0000 0.2669 [6 per cell]  7 Tl 3.01-3.08
Tl 0.0000 0.0000 0.1028 [6 per cell]  1 Li 3.06, 3 Sc 3.08
Tl 0.0000 0.0000 0.3703 [6 per cell]  4 Sc 3.01-3.08, 3 Li 3.09

=====

No. 2
VASP calculation (PBE) on a geometry-optimized LiAcTmSc structure.

Summary:
spin magnetization = 0.0 μB per cell
energy = -64.484 eV/cell
calculated formation energy = 0.18 eV/atom

Cell: 7.8316 7.8316 7.8316 Å, 90.00 90.00 90.00°
Last column: nearest neighbours and their distance in Å.
Space group F-43m (No. 216)
Symmetry-distinct sites (fractional):
Li 0.0000 0.0000 0.0000 [4 per cell]  4 Ac 3.39, 4 Tm 3.39
Ac 0.2500 0.2500 0.2500 [4 per cell]  4 Li 3.39, 4 Sc 3.39
Tm 0.2500 0.2500 0.7500 [4 per cell]  4 Li 3.39, 4 Sc 3.39
Sc 0.0000 0.0000 0.5000 [4 per cell]  4 Tm 3.39, 4 Ac 3.39

=====

No. 3
VASP calculation (PBE) on a geometry-optimized LiAc3Se4 structure.

Summary:
spin magnetization = 0.0 μB per cell
energy = -84.604 eV/cell

Cell: 8.7841 12.4364 4.4229 Å, 90.00 90.00 90.00°
Last column: nearest neighbours and their distance in Å.
Space group Cmmm (No. 65)
Symmetry-distinct sites (fractional):
Li 0.0000 0.0000 0.0000 [2 per cell]  6 Se 3.00-3.05
Ac 0.0000 0.5000 0.0000 [2 per cell]  6 Se 3.19-3.22
Ac 0.2500 0.2500 0.5000 [4 per cell]  6 Se 3.11-3.12
Se 0.0000 0.2409 0.0000 [4 per cell]  1 Li 3.00, 5 Ac 3.12-3.22
Se 0.2385 0.0000 0.5000 [4 per cell]  2 Li 3.05, 4 Ac 3.11-3.19

=====

No. 4
VASP calculation (PBE) on a geometry-optimized LiAc4Se5 structure.

Summary:
spin magnetization = 0.0 μB per cell
energy = -107.340 eV/cell

Cell: 9.8470 9.8470 6.2727 Å, 90.00 90.00 90.00°
Last column: nearest neighbours and their distance in Å.
Space group I4 (No. 79)
Symmetry-distinct sites (fractional):
Li 0.0000 0.0000 0.0000 [2 per cell]  5 Se 2.72-2.98
Ac 0.0975 0.3011 0.5513 [8 per cell]  6 Se 3.12-3.24
Se 0.0000 0.0000 0.5658 [2 per cell]  1 Li 2.72
Se 0.0960 0.2850 0.0512 [8 per cell]  1 Li 2.98, 5 Ac 3.13-3.24

=====

No. 5
VASP calculation (PBE) on a geometry-optimized LiAc5Se6 structure.

Summary:
spin magnetization = 0.0 μB per cell
energy = -129.990 eV/cell

Cell: 7.6478 13.2793 7.6583 Å, 90.00 109.64 90.00°
Last column: nearest neighbours and their distance in Å.
Space group C2/m (No. 12)
Symmetry-distinct sites (fractional):
Li 0.0000 0.0000 0.0000 [2 per cell]  6 Se 2.99-3.00
Ac 0.0000 0.1690 0.5000 [4 per cell]  6 Se 3.13-3.23
Ac 0.0000 0.3347 0.0000 [4 per cell]  6 Se 3.13-3.14
Ac 0.0000 0.5000 0.5000 [2 per cell]  6 Se 3.13-3.25
Se 0.2377 0.0000 0.7577 [4 per cell]  1 Li 3.00, 5 Ac 3.13-3.25
Se 0.2389 0.1598 0.2396 [8 per cell]  1 Li 2.99, 5 Ac 3.13-3.23

=====

No. 6
VASP calculation (PBE) on a geometry-optimized LiAcSe structure.

Summary:
spin magnetization = 0.2 μB per cell
energy = -23.512 eV/cell

Cell: 4.3381 4.3381 8.8488 Å, 90.00 90.00 90.00°
Last column: nearest neighbours and their distance in Å.
Space group I4mm (No. 107)
Symmetry-distinct sites (fractional):
Li 0.0000 0.0000 0.0000 [2 per cell]  1 Se 2.45
Ac 0.0000 0.0000 0.6348 [2 per cell]  5 Se 3.16-3.32, 5 Li 3.23-3.29
Se 0.0000 0.0000 0.2774 [2 per cell]  1 Li 2.45

=====

No. 7
VASP calculation (PBE) on a geometry-optimized LiAcSe structure.

Summary:
spin magnetization = 0.0 μB per cell
energy = -12.942 eV/cell

Cell: 4.2308 4.2308 4.7983 Å, 90.00 90.00 120.00°
Last column: nearest neighbours and their distance in Å.
Space group P-6m2 (No. 187)
Symmetry-distinct sites (fractional):
Li 0.0000 0.0000 0.0000 [1 per cell]  3 Se 2.44
Ac 0.3333 0.6667 0.5000 [1 per cell]  6 Li 3.42, 6 Se 3.42
Se 0.6667 0.3333 0.0000 [1 per cell]  3 Li 2.44

=====

No. 8
VASP calculation (PBE) on a geometry-optimized Li5Ac3Se12 structure.

Summary:
spin magnetization = 17.8 μB per cell
energy = -639.028 eV/cell

Cell: 16.4244 16.4244 16.4244 Å, 90.00 90.00 90.00°
Last column: nearest neighbours and their distance in Å.
Space group Ia-3d (No. 230)
Symmetry-distinct sites (fractional):
Li 0.0000 0.0000 0.0000 [16 per cell]  6 Se 2.68
Li 0.0000 0.2500 0.3750 [24 per cell]  4 Se 2.54
Ac 0.0000 0.2500 0.1250 [24 per cell]  8 Se 3.13-3.18
Se 0.0269 0.0629 0.6482 [96 per cell]  2 Li 2.54-2.68